The following is a meta-GGA SCAN calculation of a crystal of Cu4Au relaxed with PBEsol, from Alexandria via LeMat-Bulk.

polymorph energy (0 for the lowest one) = 111.6 meV per atom
formation energy = 6.2 kJ per mole of atoms
DOS(E_F) = 0.340 states/eV per atom
total magnetic moment = 0.00 μB/atom
VASP energy = -25.9270 eV per atom

abc: 2.6628 2.6628 31.1594
angles: 90.00 90.00 120.00
Space group R-3m (No. 166, hexagonal axes)
Asymmetric unit:
Cu (0.0000, 0.0000, 0.0944)
Cu (0.0000, 0.0000, 0.3017)
Au (0.0000, 0.0000, 0.5000)